1.
Compound: LiAlAs2
Source: the Alexandria database
Functional: PBE-GGA
Structure: relaxed

```
4
Lattice="1.510 0.872 8.912 -1.510 0.872 8.912 0.000 -1.744 8.912" Properties=species:S:1:pos:R:3 pbc="T T T"
Li 0.000 0.000 0.000
Al 0.000 0.000 13.367
As 0.000 0.000 6.744
As 0.000 0.000 19.990
```

Results
The energy of formation comes out at -0.01 eV per atom.

=====

2.
Compound: LiAlAs2
Source: the Alexandria database
Functional: PBE-GGA
Structure: relaxed

```
4
Lattice="3.642 0.000 0.000 0.000 2.941 0.000 -0.418 0.000 6.847" Properties=species:S:1:pos:R:3 pbc="T T T"
Li 0.000 0.000 0.000
Al -0.209 0.000 3.424
As 1.189 1.470 5.068
As 2.035 1.470 1.779
```

Results
The energy of formation comes out at -0.14 eV per atom.

=====

3.
Compound: Li3AlAs2
Source: the Alexandria database
Functional: PBE-GGA
Structure: relaxed

```
12
Lattice="-3.064 6.141 3.209 3.064 -6.141 3.209 3.064 6.141 -3.209" Properties=species:S:1:pos:R:3 pbc="T T T"
Li 3.064 -2.928 1.605
Li 0.000 0.000 1.605
Li 3.064 2.928 1.605
Li 0.000 3.213 1.605
Li 0.000 0.000 4.814
Li 0.000 9.069 1.605
Al 3.064 0.000 0.000
Al 0.000 6.141 0.000
As 1.428 1.629 0.000
As 1.428 -1.629 3.209
As 1.635 7.770 0.000
As 1.635 4.512 3.209
```

Results
As for the energy above the most stable polymorph in this dataset: 164 meV per atom. The energy of formation comes out at -0.48 eV per atom.

=====

4.
Compound: LiAl3As
Source: the Alexandria database
Functional: PBE-GGA
Structure: relaxed

```
5
Lattice="4.530 0.000 0.000 0.000 4.530 0.000 0.000 0.000 4.530" Properties=species:S:1:pos:R:3 pbc="T T T"
Li 0.000 0.000 0.000
Al 0.000 0.000 2.265
Al 0.000 2.265 0.000
Al 2.265 0.000 0.000
As 2.265 2.265 2.265
```

Results
As for the energy above the most stable polymorph in this dataset: 9 meV per atom. The energy of formation comes out at 0.53 eV per atom.

=====

5.
Compound: Li2AlAs
Source: the Alexandria database
Functional: PBE-GGA
Structure: relaxed

```
4
Lattice="0.000 3.281 3.281 3.281 0.000 3.281 3.281 3.281 0.000" Properties=species:S:1:pos:R:3 pbc="T T T"
Li 0.000 0.000 0.000
Li 1.640 1.640 1.640
Al 3.281 3.281 3.281
As 4.921 4.921 4.921
```

Results
As for the energy above the most stable polymorph in this dataset: 220 meV per atom. The energy of formation comes out at -0.18 eV per atom.

=====

6.
Compound: LiAlAs3
Source: the Alexandria database
Functional: PBE-GGA
Structure: relaxed

```
5
Lattice="4.905 0.000 0.000 0.000 4.905 0.000 0.000 0.000 4.905" Properties=species:S:1:pos:R:3 pbc="T T T"
Li 0.000 0.000 0.000
Al 2.453 2.453 2.453
As 0.000 2.453 2.453
As 2.453 0.000 2.453
As 2.453 2.453 0.000
```

Results
As for the energy above the most stable polymorph in this dataset: 0 meV per atom. The energy of formation comes out at 0.29 eV per atom.

=====

7.
Compound: LiAlAs2
Source: the Alexandria database
Functional: PBE-GGA
Structure: relaxed

```
4
Lattice="3.993 0.000 0.000 0.000 1.480 7.024 0.000 -1.480 7.024" Properties=species:S:1:pos:R:3 pbc="T T T"
Li 0.000 0.000 0.000
Al 1.997 0.000 10.873
As 0.000 0.000 9.399
As 1.997 0.000 5.881
```

Results
The energy of formation comes out at -0.33 eV per atom.

=====

8.
Compound: LiAlAs2
Source: the Alexandria database
Functional: PBE-GGA
Structure: relaxed

```
4
Lattice="1.995 -2.001 0.000 1.995 2.001 0.000 0.000 0.000 9.494" Properties=species:S:1:pos:R:3 pbc="T T T"
Li 0.000 0.000 0.000
Al 1.995 0.000 7.183
As 0.000 0.000 5.210
As 1.995 0.000 1.912
```

Results
The energy of formation comes out at -0.01 eV per atom.

=====

9.
Compound: LiAl3As
Source: the Alexandria database
Functional: PBE-GGA
Structure: relaxed

```
5
Lattice="5.003 0.000 0.000 0.000 5.003 0.000 0.000 0.000 5.003" Properties=species:S:1:pos:R:3 pbc="T T T"
Li 0.000 0.000 0.000
Al 0.000 2.501 2.501
Al 2.501 0.000 2.501
Al 2.501 2.501 0.000
As 2.501 2.501 2.501
```

Results
As for the energy above the most stable polymorph in this dataset: 0 meV per atom. The energy of formation comes out at 0.52 eV per atom.

=====

10.
Compound: Li2AlAs
Source: the Alexandria database
Functional: PBE-GGA
Structure: relaxed

```
4
Lattice="3.484 0.000 0.000 0.000 3.484 0.000 0.000 0.000 5.508" Properties=species:S:1:pos:R:3 pbc="T T T"
Li 0.000 0.000 0.000
Li 1.742 1.742 1.427
Al 0.000 0.000 2.881
As 1.742 1.742 4.127
```

Results
As for the energy above the most stable polymorph in this dataset: 107 meV per atom. The energy of formation comes out at -0.29 eV per atom.

=====

11.
Compound: LiAlAs
Source: the Alexandria database
Functional: PBE-GGA
Structure: relaxed

```
12
Lattice="9.219 0.000 0.000 0.000 3.846 0.000 0.000 0.000 6.488" Properties=species:S:1:pos:R:3 pbc="T T T"
Li 0.962 0.961 0.552
Li 3.647 2.884 3.796
Li 5.572 0.961 2.691
Li 8.257 2.884 5.935
Al 1.091 0.961 3.741
Al 3.519 2.884 0.497
Al 5.700 0.961 5.990
Al 8.128 2.884 2.747
As 1.579 2.884 5.312
As 3.031 0.961 2.068
As 6.188 2.884 4.420
As 7.640 0.961 1.176
```

Results
The energy of formation comes out at -0.41 eV per atom.

=====

12.
Compound: LiMgAlAs2
Source: the Alexandria database
Functional: PBE-GGA
Structure: relaxed

```
5
Lattice="4.947 0.000 0.000 0.000 4.947 0.000 0.000 0.000 5.152" Properties=species:S:1:pos:R:3 pbc="T T T"
Li 0.000 0.000 0.000
Mg 2.473 2.473 0.000
Al 2.473 2.473 2.576
As 0.000 2.473 2.576
As 2.473 0.000 2.576
```

Results
The energy of formation comes out at 0.27 eV per atom.

=====

13.
Compound: Li2AlAsN
Source: the Alexandria database
Functional: PBE-GGA
Structure: relaxed

```
5
Lattice="4.204 0.000 0.000 0.000 4.204 0.000 0.000 0.000 3.632" Properties=species:S:1:pos:R:3 pbc="T T T"
Li 0.000 2.102 0.000
Li 2.102 0.000 0.000
Al 0.000 0.000 1.816
As 2.102 2.102 1.816
N 0.000 0.000 0.000
```

Results
The uncorrected formation energy is -0.541 eV/atom.

=====

14.
Compound: Na2LiAlAs2
Source: the Alexandria database
Functional: PBE-GGA
Structure: relaxed

```
12
Lattice="-2.975 6.988 3.056 2.975 -6.988 3.056 2.975 6.988 -3.056" Properties=species:S:1:pos:R:3 pbc="T T T"
Na 1.383 2.482 0.000
Na 1.383 -2.482 3.056
Na 1.592 9.471 0.000
Na 1.592 4.506 3.056
Li 0.000 0.000 1.528
Li 0.000 0.000 4.584
Al 2.975 0.000 1.528
Al 0.000 6.988 1.528
As 4.336 1.476 0.000
As 1.361 5.512 0.000
As 1.615 1.476 3.056
As -1.361 5.512 3.056
```

Results
The energy of formation comes out at -0.62 eV per atom.

=====

15.
Compound: LiAlAsO4
Source: the Alexandria database
Functional: PBE-GGA
Structure: relaxed

```
7
Lattice="-2.382 2.382 4.140 2.382 -2.382 4.140 2.382 2.382 -4.140" Properties=species:S:1:pos:R:3 pbc="T T T"
Li 0.000 0.000 0.000
Al 0.000 2.382 2.070
As 0.000 0.000 4.140
O 1.466 1.093 -0.998
O 1.290 -0.916 5.138
O 0.916 1.290 3.142
O 1.093 3.299 0.998
```

Results
As for the energy above the most stable polymorph in this dataset: 87 meV per atom. The uncorrected formation energy is -1.842 eV/atom.

=====

16.
Compound: Li2AlAsO4
Source: the Alexandria database
Functional: PBE-GGA
Structure: relaxed

```
8
Lattice="-2.293 2.293 4.500 2.293 -2.293 4.500 2.293 2.293 -4.500" Properties=species:S:1:pos:R:3 pbc="T T T"
Li 0.000 0.000 0.000
Li 0.000 2.293 2.250
Al 0.000 0.000 4.500
As 2.293 0.000 2.250
O 3.317 1.242 -1.038
O 1.242 1.269 1.038
O -1.024 1.051 3.462
O 1.051 1.024 5.537
```

Results
The uncorrected formation energy is -1.928 eV/atom.

=====

17.
Compound: LiAl2AsO6
Source: the Alexandria database
Functional: PBE-GGA
Structure: relaxed

```
20
Lattice="4.398 -5.488 0.000 4.398 5.488 0.000 -2.447 0.000 4.984" Properties=species:S:1:pos:R:3 pbc="T T T"
Li 2.562 4.716 3.738
Li 3.786 -4.716 1.246
Al 1.218 0.842 4.135
Al 2.442 -0.842 1.642
Al 3.906 0.842 3.342
Al 5.129 -0.842 0.850
As 3.786 3.395 1.246
As 2.562 -3.395 3.738
O -0.551 0.983 3.374
O 1.120 2.553 4.769
O 0.672 -0.983 0.882
O 2.065 0.621 2.585
O 4.004 2.553 2.707
O 3.289 -0.621 0.093
O 3.059 0.621 4.892
O 2.343 -2.553 2.277
O 4.283 -0.621 2.400
O 5.675 0.983 4.102
O 5.228 -2.553 0.215
O 6.899 -0.983 1.610
```

Results
The uncorrected formation energy is -2.240 eV/atom.

=====

18.
Compound: LiAlAs2O6
Source: the Alexandria database
Functional: PBE-GGA
Structure: relaxed

```
20
Lattice="5.487 -5.157 0.000 5.487 5.157 0.000 -3.753 0.000 5.824" Properties=species:S:1:pos:R:3 pbc="T T T"
Li 2.672 3.531 4.368
Li 4.549 -3.531 1.456
Al 4.549 2.421 1.456
Al 2.672 -2.421 4.368
As 1.740 0.568 0.830
As -0.137 -0.568 3.742
As 7.358 0.568 2.082
As 5.481 -0.568 4.993
O 1.042 3.375 5.784
O 0.484 0.460 2.386
O 3.082 1.471 1.435
O -1.392 -0.460 5.297
O 4.302 3.375 2.952
O 6.016 1.471 1.477
O 1.206 -1.471 4.347
O 2.919 -3.375 2.872
O 8.614 0.460 0.526
O 4.139 -1.471 4.388
O 6.737 -0.460 3.438
O 6.179 -3.375 0.040
```

Results
The uncorrected formation energy is -1.669 eV/atom.

=====

19.
Compound: LiAlAsO4
Source: the Alexandria database
Functional: PBE-GGA
Structure: relaxed

```
7
Lattice="-2.353 2.353 4.244 2.353 -2.353 4.244 2.353 2.353 -4.244" Properties=species:S:1:pos:R:3 pbc="T T T"
Li 0.000 0.000 0.000
Al 0.000 0.000 4.244
As 2.353 0.000 2.122
O 1.207 -0.909 3.275
O 1.444 1.146 0.969
O 1.146 3.262 -0.969
O 0.909 1.207 5.213
```

Results
As for the energy above the most stable polymorph in this dataset: 93 meV per atom. The uncorrected formation energy is -1.836 eV/atom.

=====

20.
Compound: LiAlAsO4
Source: the Alexandria database
Functional: PBE-GGA
Structure: relaxed

```
14
Lattice="-2.896 3.062 3.965 2.896 -3.062 3.965 2.896 3.062 -3.965" Properties=species:S:1:pos:R:3 pbc="T T T"
Li 0.000 0.000 0.000
Li 0.000 3.062 0.000
Al -1.448 1.531 1.983
Al 1.448 1.531 1.983
As 2.896 1.531 -1.045
As 0.000 1.531 5.010
O 1.474 1.531 0.009
O 4.317 1.531 0.009
O 0.000 0.291 1.972
O 2.896 0.291 1.993
O 0.000 2.771 1.972
O 2.896 2.771 1.993
O -1.422 1.531 3.956
O 1.422 1.531 3.956
```

Results
As for the energy above the most stable polymorph in this dataset: 0 meV per atom. The uncorrected formation energy is -1.928 eV/atom.

=====

21.
Compound: Li2AlAs2Pd5
Source: the Alexandria database
Functional: PBE-GGA
Structure: relaxed

```
20
Lattice="10.119 0.000 0.000 0.000 10.119 0.000 0.000 0.000 3.196" Properties=species:S:1:pos:R:3 pbc="T T T"
Li 1.739 3.320 0.000
Li 3.320 8.379 0.000
Li 6.799 1.739 0.000
Li 8.379 6.799 0.000
Al 0.000 0.000 0.000
Al 5.059 5.059 0.000
As 1.397 6.457 0.000
As 3.662 1.397 0.000
As 6.457 8.721 0.000
As 8.721 3.662 0.000
Pd 0.000 5.059 1.598
Pd 0.309 8.108 1.598
Pd 2.011 0.309 1.598
Pd 3.048 5.369 1.598
Pd 4.750 3.048 1.598
Pd 5.059 0.000 1.598
Pd 5.369 7.071 1.598
Pd 7.071 4.750 1.598
Pd 8.108 9.809 1.598
Pd 9.809 2.011 1.598
```

Results
The energy of formation comes out at -0.53 eV per atom.

=====

22.
Compound: Li2AlAsRu
Source: the Alexandria database
Functional: PBE-GGA
Structure: relaxed

```
5
Lattice="4.554 0.000 0.000 0.000 4.554 0.000 0.000 0.000 4.711" Properties=species:S:1:pos:R:3 pbc="T T T"
Li 0.000 2.277 0.000
Li 2.277 0.000 0.000
Al 0.000 0.000 0.000
As 0.000 0.000 2.355
Ru 2.277 2.277 2.355
```

Results
The energy of formation comes out at 0.93 eV per atom.

=====

23.
Compound: Li2AlAsS4
Source: the Alexandria database
Functional: PBE-GGA
Structure: relaxed

```
16
Lattice="8.683 0.000 0.000 0.000 6.670 0.000 0.000 0.000 5.905" Properties=species:S:1:pos:R:3 pbc="T T T"
Li 2.150 1.153 0.000
Li 2.191 5.517 2.952
Li 6.492 5.517 2.952
Li 6.533 1.153 0.000
Al 0.000 2.307 2.993
Al 4.341 4.362 0.040
As 0.000 4.629 5.874
As 4.341 2.041 2.922
S 0.000 2.400 5.312
S 0.000 4.492 2.298
S 1.895 1.257 2.444
S 2.447 5.412 5.396
S 4.341 2.178 5.251
S 4.341 4.270 2.360
S 6.236 5.412 5.396
S 6.788 1.257 2.444
```

Results
The uncorrected formation energy is -0.872 eV/atom.

=====

24.
Compound: Li2AlSbAs
Source: the Alexandria database
Functional: PBE-GGA
Structure: relaxed

```
5
Lattice="4.969 0.000 0.000 0.000 4.969 0.000 0.000 0.000 5.253" Properties=species:S:1:pos:R:3 pbc="T T T"
Li 0.000 2.485 0.000
Li 2.485 0.000 0.000
Al 0.000 0.000 2.626
Sb 0.000 0.000 0.000
As 2.485 2.485 2.626
```

Results
The uncorrected formation energy is 0.294 eV/atom.